This record from the Alexandria database describes a relaxed structure of Sc2Hg. The functional is PBE.

a = 4.468 Å, b = 4.468 Å, c = 26.657 Å
α = 90.00°, β = 90.00°, γ = 90.00°
Space group I4_1/amd (No. 141, origin choice 2)
Unique sites:
Sc: 0.000 0.250 0.123 [8 per cell]
Sc: 0.000 0.250 0.789 [8 per cell]
Hg: 0.000 0.250 0.295 [8 per cell]

Its total energy is -0.1679 Ha/atom. As for the calculated density: 7.251 Mg/m³. The formation energy comes out at -0.247 eV/atom.